(1)
Compound: LaTaAl2Ni
Source: Alexandria
Functional: SCAN
Structure: single point on PBEsol structure

a b c (Å): 4.528 4.528 4.948
angles (deg): 90.00 90.00 90.00
Space group P4/mmm (No. 123)
Inequivalent atoms, fractional coordinates:
La: 0.000 0.000 0.000 [1 per cell]
Ta: 0.500 0.500 0.000 [1 per cell]
Al: 0.000 0.500 0.500 [2 per cell]
Ni: 0.000 0.000 0.500 [1 per cell]

Results
ΔE_f in eV/atom: 0.39

(2)
Compound: La2AlO
Source: Alexandria
Functional: SCAN
Structure: single point on PBEsol structure

a b c (Å): 7.090 7.090 7.090
angles (deg): 90.00 90.00 90.00
Space group Fm-3m (No. 225)
Inequivalent atoms, fractional coordinates:
La: 0.250 0.250 0.250 [8 per cell]
Al: 0.000 0.000 0.000 [4 per cell]
O: 0.000 0.000 0.500 [4 per cell]

N(E_F), respectively: 0.91, 0.80 states/eV/atom.
VASP energy, respectively: -139.41, -411.07 eV per cell.